Record 1
The following is a PBE-GGA calculation of a relaxed Pm3Sn2Ru2 crystal, from Alexandria.

a b c (Å): 4.8176 4.8258 8.7032
angles (deg): 106.04 90.00 119.94
With the nearest neighbours (Å) after each atom.
Fractional coordinates of all 7 atoms:
Pm 0.3695 0.7389 0.6079  4 Ru 3.12-3.20, 3 Sn 3.21, 4 Pm 3.23-3.31
Pm 0.6305 0.2611 0.3921  4 Ru 3.12-3.20, 3 Sn 3.21, 4 Pm 3.23-3.31
Pm 0.5000 0.0000 0.0000  6 Sn 3.23, 2 Pm 3.23, 6 Ru 3.32-3.33
Sn 0.1011 0.2022 0.8022  3 Ru 2.79
Sn 0.8989 0.7978 0.1978  3 Ru 2.79
Ru 0.7610 0.5219 0.7806  3 Sn 2.79, 2 Pm 3.12
Ru 0.2390 0.4781 0.2194  3 Sn 2.79, 2 Pm 3.12

Calculated values
* DFT formation energy: -0.397 eV/atom
* final energy: -0.229 hartree per atom
* total moment: 0.00 μB/f.u.
* V: 166 Å³/f.u.
* crystal system: monoclinic

---

Record 2
The following is a PBE-GGA calculation of a relaxed Pm2HoZr crystal, from Alexandria.

a b c (Å): 3.4013 3.4013 12.2641
angles (deg): 82.03 82.03 60.00
With the nearest neighbours (Å) after each atom.
Fractional coordinates of all 4 atoms:
Zr 0.0000 0.0000 0.0000  2 Pm 3.12, 6 Zr 3.40
Ho 0.5000 0.5000 0.5000  6 Ho 3.40, 6 Pm 3.53
Pm 0.9141 0.9141 0.2577  1 Zr 3.12, 6 Pm 3.40
Pm 0.0859 0.0859 0.7423  1 Zr 3.12, 6 Pm 3.40

Calculated values
* DFT formation energy: 0.305 eV/atom
* final energy: -0.197 hartree per atom
* total moment: 0.00 μB/f.u.
* V: 121 Å³/f.u.
* crystal system: trigonal

---

Record 3
The following is a PBE-GGA calculation of a relaxed TaSiCl2 crystal, from Alexandria.

a b c (Å): 4.5203 4.5203 4.5203
angles (deg): 60.00 60.00 60.00
With the nearest neighbours (Å) after each atom.
Fractional coordinates of all 4 atoms:
Cl 0.2500 0.2500 0.2500  4 Ta 2.77, 4 Si 2.77
Cl 0.7500 0.7500 0.7500  4 Ta 2.77, 4 Si 2.77
Si 0.0000 0.0000 0.0000  8 Cl 2.77
Ta 0.5000 0.5000 0.5000  8 Cl 2.77

Calculated values
* final energy: -0.171 hartree per atom
* total moment: 0.00 μB/f.u.
* uncorrected formation energy: 587 meV/atom
* V: 65 Å³/f.u.
* crystal system: cubic

---

Record 4
The following is a PBE-GGA calculation of a relaxed La2TbSn crystal, from Alexandria.

a b c (Å): 4.6942 4.6108 12.0945
angles (deg): 90.00 101.28 90.00
With the nearest neighbours (Å) after each atom.
Fractional coordinates of all 8 atoms:
Sn 0.8301 0.7500 0.6577  5 Tb 3.12-3.36, 4 La 3.31-3.46
Sn 0.1699 0.2500 0.3423  5 Tb 3.12-3.36, 4 La 3.31-3.46
La 0.9123 0.2500 0.8747  4 La 3.18-3.41, 2 Sn 3.46
La 0.5618 0.2500 0.1431  4 La 3.18-3.41, 2 Sn 3.31-3.36
La 0.4382 0.7500 0.8569  4 La 3.18-3.41, 2 Sn 3.31-3.36
La 0.0877 0.7500 0.1253  4 La 3.18-3.41, 2 Sn 3.46
Tb 0.6989 0.7500 0.3947  5 Sn 3.12-3.36
Tb 0.3011 0.2500 0.6053  5 Sn 3.12-3.36

Calculated values
* DFT formation energy: -0.371 eV/atom
* final energy: -0.183 hartree per atom
* total moment: 0.00 μB/f.u.
* V: 128 Å³/f.u.
* crystal system: monoclinic

---

Please write out number 2 again, unchanged.
The following is a PBE-GGA calculation of a relaxed Pm2HoZr crystal, from Alexandria.

a b c (Å): 3.4013 3.4013 12.2641
angles (deg): 82.03 82.03 60.00
With the nearest neighbours (Å) after each atom.
Fractional coordinates of all 4 atoms:
Zr 0.0000 0.0000 0.0000  2 Pm 3.12, 6 Zr 3.40
Ho 0.5000 0.5000 0.5000  6 Ho 3.40, 6 Pm 3.53
Pm 0.9141 0.9141 0.2577  1 Zr 3.12, 6 Pm 3.40
Pm 0.0859 0.0859 0.7423  1 Zr 3.12, 6 Pm 3.40

Calculated values
* DFT formation energy: 0.305 eV/atom
* final energy: -0.197 hartree per atom
* total moment: 0.00 μB/f.u.
* V: 121 Å³/f.u.
* crystal system: trigonal